# CdMoSe2 GGA-PBE optimized geometry
# Total energy: -4.823 eV per atom
# Density: 6.50 Mg/m³
data_CdMoSe2
_cell_length_a 9.263
_cell_length_b 9.263
_cell_length_c 9.263
_cell_angle_alpha 160.25
_cell_angle_beta 159.61
_cell_angle_gamma 28.54
_symmetry_space_group_name_H-M 'P 1'
_symmetry_Int_Tables_number 1
loop_
_symmetry_equiv_pos_as_xyz
'x,y,z'
loop_
_atom_site_label
_atom_site_fract_x
_atom_site_fract_y
_atom_site_fract_z
_atom_site_occupancy
Se1 0.768 0.268 0.500 1
Se2 0.091 0.091 0.000 1
Cd1 0.444 0.444 0.000 1
Mo1 0.197 0.697 0.500 1